Entry 1:
A relaxed structure of TiZnPb2, computed with PBE.

Lattice parameters (Å, degrees): 7.7940 7.7940 6.2755 90.00 90.00 90.00
Closest atoms and distances in Å follow each position.
Space group I-42d (No. 122)
One atom of each set of equivalent atoms:
Ti 0.0000 0.0000 0.0000 (multiplicity 4)  4 Pb 2.95, 2 Zn 3.14
Zn 0.0000 0.0000 0.5000 (multiplicity 4)  4 Pb 2.78
Pb 0.2336 0.7500 0.6250 (multiplicity 8)  2 Zn 2.78, 2 Ti 2.95

Computed properties:
Magnetic moment   0.000 μB per cell
Formation energy from the elements   0.415 eV/atom


Entry 2:
A relaxed structure of TiZnPb3, computed with PBE.

Lattice parameters (Å, degrees): 5.3019 5.3019 5.3019 90.00 90.00 90.00
Closest atoms and distances in Å follow each position.
Space group Pm-3m (No. 221)
One atom of each set of equivalent atoms:
Ti 0.0000 0.0000 0.0000 (multiplicity 1)  12 Pb 3.75
Zn 0.5000 0.5000 0.5000 (multiplicity 1)  6 Pb 2.65
Pb 0.0000 0.5000 0.5000 (multiplicity 3)  2 Zn 2.65

Computed properties:
Magnetic moment   0.000 μB per cell
Formation energy from the elements   0.789 eV/atom


Entry 3:
A relaxed structure of Ti4ZnPb, computed with PBE.

Lattice parameters (Å, degrees): 14.2317 5.3119 6.1674 90.00 98.90 90.00
Closest atoms and distances in Å follow each position.
Space group C2/c (No. 15)
One atom of each set of equivalent atoms:
Ti 0.0771 0.0942 0.4199 (multiplicity 8)  1 Zn 2.57, 4 Ti 2.73-2.84
Ti 0.1666 0.3480 0.1018 (multiplicity 8)  2 Zn 2.57-2.61, 2 Ti 2.82-2.84
Zn 0.2500 0.2500 0.5000 (multiplicity 4)  6 Ti 2.57-2.61
Pb 0.0000 0.3989 0.7500 (multiplicity 4)  10 Ti 2.94-3.03, 2 Pb 3.27

Computed properties:
Magnetic moment   2.762 μB per cell
Formation energy from the elements   0.252 eV/atom


Entry 4:
A relaxed structure of Ti2Zn2Pb, computed with PBE.

Lattice parameters (Å, degrees): 4.1242 4.1242 11.6356 90.00 90.00 90.00
Closest atoms and distances in Å follow each position.
Space group I4/mmm (No. 139)
One atom of each set of equivalent atoms:
Ti 0.0000 0.5000 0.2500 (multiplicity 4)  4 Zn 2.67, 4 Ti 2.92
Zn 0.0000 0.0000 0.1042 (multiplicity 4)  1 Zn 2.43, 4 Ti 2.67
Pb 0.0000 0.0000 0.5000 (multiplicity 2)  8 Zn 3.16

Computed properties:
Magnetic moment   0.000 μB per cell
Formation energy from the elements   0.230 eV/atom


Entry 5:
A relaxed structure of TiZnPb, computed with PBE.

Lattice parameters (Å, degrees): 11.2667 3.1820 7.1212 90.00 109.38 90.00
Closest atoms and distances in Å follow each position.
Space group Cm (No. 8)
One atom of each set of equivalent atoms:
Ti 0.0000 0.0000 0.0000 (multiplicity 2)  2 Zn 2.72, 2 Ti 2.83, 4 Pb 2.95-3.01
Ti 0.1565 0.5000 0.3146 (multiplicity 2)  2 Ti 2.83, 3 Zn 2.92-3.05, 5 Pb 3.07-3.10
Zn 0.0544 0.0000 0.5934 (multiplicity 2)  2 Zn 2.73, 1 Pb 2.89, 2 Ti 3.05
Zn 0.1706 0.5000 0.9127 (multiplicity 2)  3 Ti 2.72-2.92, 2 Zn 2.73
Pb 0.3237 0.0000 0.6790 (multiplicity 2)  3 Zn 2.89-3.19, 4 Ti 2.95-3.09, 2 Pb 3.18
Pb 0.3713 0.0000 0.2359 (multiplicity 2)  5 Ti 3.01-3.10, 4 Zn 3.08-3.13, 3 Pb 3.18-3.37

Computed properties:
Magnetic moment   0.000 μB per cell
Formation energy from the elements   0.067 eV/atom


Entry 6:
A relaxed structure of TiZnPb, computed with PBE.

Lattice parameters (Å, degrees): 11.2102 3.1783 7.4523 90.00 113.96 90.00
Closest atoms and distances in Å follow each position.
Space group Cm (No. 8)
One atom of each set of equivalent atoms:
Ti 0.0000 0.0000 0.0000 (multiplicity 2)  4 Zn 2.78-2.92, 2 Ti 2.87, 2 Pb 3.06
Ti 0.2228 0.5000 0.2332 (multiplicity 2)  2 Zn 2.72, 2 Ti 2.87, 1 Pb 3.00
Zn 0.0962 0.5000 0.7819 (multiplicity 2)  2 Zn 2.52, 2 Ti 2.78
Zn 0.2762 0.0000 0.9789 (multiplicity 2)  2 Zn 2.52, 2 Ti 2.72
Pb 0.3142 0.0000 0.6209 (multiplicity 2)  2 Zn 2.87-2.89, 4 Ti 3.09-3.17, 2 Pb 3.18
Pb 0.4954 0.0000 0.3484 (multiplicity 2)  2 Zn 2.85-2.96, 3 Ti 3.00-3.06, 2 Pb 3.18

Computed properties:
Magnetic moment   0.000 μB per cell
Formation energy from the elements   0.032 eV/atom


Entry 7:
A relaxed structure of TiZnPb, computed with PBE.

Lattice parameters (Å, degrees): 10.1532 4.2134 5.6921 90.00 94.51 90.00
Closest atoms and distances in Å follow each position.
Space group Cm (No. 8)
One atom of each set of equivalent atoms:
Ti 0.0000 0.0000 0.0000 (multiplicity 2)  3 Zn 2.72-2.99, 2 Ti 2.92, 4 Pb 2.95-3.04
Ti 0.1052 0.5000 0.7140 (multiplicity 2)  4 Zn 2.77-2.94, 2 Ti 2.92, 2 Pb 3.06
Zn 0.1343 0.5000 0.2041 (multiplicity 2)  2 Zn 2.52, 3 Ti 2.72-2.78
Zn 0.1825 0.0000 0.4395 (multiplicity 2)  2 Zn 2.52, 2 Ti 2.77
Pb 0.2970 0.0000 0.9316 (multiplicity 2)  4 Zn 2.95-3.20, 5 Ti 2.95-3.07
Pb 0.4019 0.5000 0.4902 (multiplicity 2)  4 Zn 2.89-3.06, 4 Ti 2.99-3.15

Computed properties:
Magnetic moment   0.000 μB per cell
Formation energy from the elements   0.076 eV/atom


Entry 8:
A relaxed structure of TiZnPb, computed with PBE.

Lattice parameters (Å, degrees): 11.1017 3.1753 7.3977 90.00 111.79 90.00
Closest atoms and distances in Å follow each position.
Space group Cm (No. 8)
One atom of each set of equivalent atoms:
Ti 0.0000 0.0000 0.0000 (multiplicity 2)  3 Zn 2.75-2.90, 2 Ti 2.82, 3 Pb 2.99-3.02
Ti 0.1764 0.5000 0.2960 (multiplicity 2)  2 Ti 2.82, 2 Zn 2.85, 5 Pb 3.05-3.07
Zn 0.1077 0.5000 0.7959 (multiplicity 2)  2 Zn 2.65, 2 Ti 2.75
Zn 0.2729 0.0000 0.0589 (multiplicity 2)  2 Zn 2.65, 3 Ti 2.85-2.90
Pb 0.3104 0.0000 0.6690 (multiplicity 2)  4 Ti 3.02-3.05, 4 Zn 3.06-3.17, 2 Pb 3.18
Pb 0.4677 0.5000 0.3833 (multiplicity 2)  4 Ti 2.99-3.07, 4 Zn 3.02-3.28, 2 Pb 3.18

Computed properties:
Magnetic moment   0.000 μB per cell
Formation energy from the elements   0.042 eV/atom


Entry 9:
A relaxed structure of Ti3ZnPb, computed with PBE.

Lattice parameters (Å, degrees): 5.0926 14.9053 5.2872 90.00 90.00 90.00
Closest atoms and distances in Å follow each position.
Space group Cmcm (No. 63)
One atom of each set of equivalent atoms:
Ti 0.0000 0.0000 0.0000 (multiplicity 4)  6 Ti 2.64-2.88, 4 Zn 2.89, 2 Pb 2.90
Ti 0.2437 0.1501 0.2500 (multiplicity 8)  2 Ti 2.48-2.61
Zn 0.0000 0.4776 0.2500 (multiplicity 4)  2 Zn 2.73, 6 Ti 2.88-2.89
Pb 0.0000 0.1732 0.7500 (multiplicity 4)  8 Ti 2.90-2.94

Computed properties:
Magnetic moment   0.000 μB per cell
Formation energy from the elements   0.212 eV/atom


Entry 10:
A relaxed structure of TiZnPb, computed with PBE.

Lattice parameters (Å, degrees): 4.2090 4.1856 13.1903 90.00 90.00 90.00
Closest atoms and distances in Å follow each position.
Space group Amm2 (No. 38)
One atom of each set of equivalent atoms:
Ti 0.0000 0.0000 0.0000 (multiplicity 2)  6 Zn 2.79-2.97, 4 Pb 2.88-2.96
Ti 0.0000 0.0000 0.3081 (multiplicity 2)  6 Pb 2.97-3.00, 4 Zn 3.05-3.17, 2 Ti 3.28
Zn 0.0000 0.0000 0.6401 (multiplicity 2)  4 Ti 2.79-3.05, 2 Zn 2.91, 4 Pb 2.97
Zn 0.5000 0.0000 0.4877 (multiplicity 2)  4 Pb 2.84-2.99, 2 Zn 2.91, 6 Ti 2.97-3.17
Pb 0.5000 0.0000 0.1495 (multiplicity 2)  4 Ti 2.88-2.97, 6 Zn 2.97-2.99
Pb 0.5000 0.0000 0.8421 (multiplicity 2)  2 Zn 2.84, 6 Ti 2.96-3.00

Computed properties:
Magnetic moment   0.000 μB per cell
Formation energy from the elements   0.047 eV/atom


Entry 11:
A relaxed structure of TiZnPb3, computed with PBE.

Lattice parameters (Å, degrees): 5.4348 5.4348 5.4348 90.00 90.00 90.00
Closest atoms and distances in Å follow each position.
Space group Pm-3m (No. 221)
One atom of each set of equivalent atoms:
Ti 0.0000 0.0000 0.0000 (multiplicity 1)  6 Pb 2.72
Zn 0.5000 0.5000 0.5000 (multiplicity 1)  12 Pb 3.84
Pb 0.0000 0.0000 0.5000 (multiplicity 3)  2 Ti 2.72

Computed properties:
Magnetic moment   0.000 μB per cell
Formation energy from the elements   0.360 eV/atom


Entry 12:
A relaxed structure of Ti2Zn2Pb, computed with PBE.

Lattice parameters (Å, degrees): 7.6116 7.6116 3.2575 90.00 90.00 90.00
Closest atoms and distances in Å follow each position.
Space group P4/mbm (No. 127)
One atom of each set of equivalent atoms:
Ti 0.1230 0.3770 0.0000 (multiplicity 4)  1 Ti 2.65, 6 Zn 2.74-2.80
Zn 0.1726 0.6726 0.5000 (multiplicity 4)  6 Ti 2.74-2.80
Pb 0.0000 0.0000 0.0000 (multiplicity 2)  4 Ti 3.02, 8 Zn 3.25, 2 Pb 3.26

Computed properties:
Magnetic moment   2.758 μB per cell
Formation energy from the elements   0.127 eV/atom